[1]
A geometry-optimized LiHoInAu structure, computed with GGA-PBE.

Unit cell a=6.834 b=6.834 c=6.834 alpha=90.00 beta=90.00 gamma=90.00
Fractional coordinates of all 16 atoms:
Li 0.000 0.000 0.000
Li 0.000 0.500 0.500
Li 0.500 0.000 0.500
Li 0.500 0.500 0.000
Ho 0.250 0.250 0.750
Ho 0.250 0.750 0.250
Ho 0.750 0.250 0.250
Ho 0.750 0.750 0.750
In 0.250 0.250 0.250
In 0.250 0.750 0.750
In 0.750 0.250 0.750
In 0.750 0.750 0.250
Au 0.000 0.000 0.500
Au 0.000 0.500 0.000
Au 0.500 0.000 0.000
Au 0.500 0.500 0.500

## Properties
* symmetry: F-43m (216)
* magnetic moment: 0.00 μB per cell
* total DFT energy (no corrections): -3.754 eV/atom

[2]
A geometry-optimized IrS2 structure, computed with GGA-PBE.

Unit cell a=7.181 b=7.181 c=7.181 alpha=60.00 beta=60.00 gamma=60.00
Fractional coordinates of all 6 atoms:
Ir 0.125 0.125 0.125
Ir 0.875 0.875 0.875
S 0.000 0.000 0.000
S 0.000 0.000 0.500
S 0.000 0.500 0.000
S 0.500 0.000 0.000

## Properties
* symmetry: Fd-3m (227)
* magnetic moment: 0.01 μB per cell
* total DFT energy (no corrections): -5.366 eV/atom

[3]
A geometry-optimized NaHfTl2I6 structure, computed with GGA-PBE.

Unit cell a=8.389 b=8.389 c=8.389 alpha=60.00 beta=60.00 gamma=60.00
Fractional coordinates of all 10 atoms:
Na 0.000 0.000 0.000
Hf 0.500 0.500 0.500
Tl 0.250 0.250 0.250
Tl 0.750 0.750 0.750
I 0.259 0.259 0.741
I 0.259 0.741 0.259
I 0.259 0.741 0.741
I 0.741 0.259 0.259
I 0.741 0.259 0.741
I 0.741 0.741 0.259

## Properties
* symmetry: Fm-3m (225)
* magnetic moment: 1.00 μB per cell
* total DFT energy (no corrections): -3.239 eV/atom

[4]
A geometry-optimized TbCdPb2 structure, computed with GGA-PBE.

Unit cell a=4.884 b=4.884 c=4.541 alpha=90.00 beta=90.00 gamma=90.00
Fractional coordinates of all 4 atoms:
Tb 0.000 0.000 0.000
Cd 0.500 0.500 0.000
Pb 0.000 0.500 0.500
Pb 0.500 0.000 0.500

## Properties
* symmetry: P4/mmm (123)
* magnetic moment: 0.00 μB per cell
* total DFT energy (no corrections): -3.563 eV/atom

[5]
A geometry-optimized KTbTeO structure, computed with GGA-PBE.

Unit cell a=4.738 b=8.452 c=6.808 alpha=90.00 beta=90.00 gamma=90.00
Fractional coordinates of all 8 atoms:
K 0.000 0.216 0.000
K 0.000 0.784 0.500
Tb 0.500 0.391 0.398
Tb 0.500 0.609 0.898
Te 0.000 0.196 0.510
Te 0.000 0.804 0.010
O 0.500 0.411 0.085
O 0.500 0.589 0.585

## Properties
* symmetry: Pmc2_1 (26)
* magnetic moment: 0.00 μB per cell
* total DFT energy (no corrections): -5.429 eV/atom

[6]
A geometry-optimized Sr2Er2Sb2OF2 structure, computed with GGA-PBE.

Unit cell a=10.379 b=10.379 c=10.379 alpha=154.88 beta=154.88 gamma=35.82
Fractional coordinates of all 9 atoms:
Sr 0.190 0.190 0.000
Sr 0.810 0.810 0.000
Er 0.000 0.500 0.500
Er 0.500 0.000 0.500
Sb 0.392 0.392 0.000
Sb 0.608 0.608 0.000
O 0.000 0.000 0.000
F 0.250 0.750 0.500
F 0.750 0.250 0.500

## Properties
* symmetry: I4/mmm (139)
* magnetic moment: 0.00 μB per cell
* total DFT energy (no corrections): -5.688 eV/atom

[7]
A geometry-optimized BeCuAg3 structure, computed with GGA-PBE.

Unit cell a=4.381 b=4.381 c=4.381 alpha=90.00 beta=90.00 gamma=90.00
Fractional coordinates of all 5 atoms:
Be 0.000 0.000 0.000
Cu 0.500 0.500 0.500
Ag 0.000 0.000 0.500
Ag 0.000 0.500 0.000
Ag 0.500 0.000 0.000

## Properties
* symmetry: Pm-3m (221)
* total DFT energy (no corrections): -2.692 eV/atom

[8]
A geometry-optimized AlCoPt2 structure, computed with GGA-PBE.

Unit cell a=6.093 b=6.093 c=6.093 alpha=90.00 beta=90.00 gamma=90.00
Fractional coordinates of all 16 atoms:
Al 0.000 0.000 0.000
Al 0.000 0.500 0.500
Al 0.500 0.000 0.500
Al 0.500 0.500 0.000
Co 0.250 0.250 0.250
Co 0.250 0.750 0.750
Co 0.750 0.250 0.750
Co 0.750 0.750 0.250
Pt 0.000 0.000 0.500
Pt 0.000 0.500 0.000
Pt 0.250 0.250 0.750
Pt 0.250 0.750 0.250
Pt 0.500 0.000 0.000
Pt 0.500 0.500 0.500
Pt 0.750 0.250 0.250
Pt 0.750 0.750 0.750

## Properties
* symmetry: F-43m (216)
* magnetic moment: 6.57 μB per cell
* total DFT energy (no corrections): -6.067 eV/atom

[9]
A geometry-optimized KNbGa structure, computed with GGA-PBE.

Unit cell a=7.428 b=7.428 c=7.428 alpha=90.00 beta=90.00 gamma=90.00
Fractional coordinates of all 12 atoms:
K 0.000 0.000 0.000
K 0.000 0.500 0.500
K 0.500 0.000 0.500
K 0.500 0.500 0.000
Nb 0.250 0.250 0.250
Nb 0.250 0.750 0.750
Nb 0.750 0.250 0.750
Nb 0.750 0.750 0.250
Ga 0.250 0.250 0.750
Ga 0.250 0.750 0.250
Ga 0.750 0.250 0.250
Ga 0.750 0.750 0.750

## Properties
* symmetry: F-43m (216)
* magnetic moment: 18.14 μB per cell
* total DFT energy (no corrections): -2.832 eV/atom

[10]
A geometry-optimized Rb2Sn2Hg3S8 structure, computed with GGA-PBE.

Unit cell a=10.295 b=6.713 c=13.702 alpha=90.00 beta=97.51 gamma=90.00
Fractional coordinates of all 30 atoms:
Rb 0.222 0.159 0.309
Rb 0.222 0.341 0.809
Rb 0.778 0.659 0.191
Rb 0.778 0.841 0.691
Sn 0.284 0.685 0.076
Sn 0.284 0.815 0.576
Sn 0.716 0.185 0.424
Sn 0.716 0.315 0.924
Hg 0.000 0.000 0.000
Hg 0.000 0.500 0.500
Hg 0.498 0.706 0.380
Hg 0.498 0.794 0.880
Hg 0.502 0.206 0.120
Hg 0.502 0.294 0.620
S 0.081 0.703 0.637
S 0.081 0.797 0.137
S 0.265 0.695 0.408
S 0.265 0.805 0.908
S 0.273 0.177 0.576
S 0.273 0.323 0.076
S 0.470 0.680 0.677
S 0.470 0.820 0.177
S 0.530 0.180 0.823
S 0.530 0.320 0.323
S 0.727 0.677 0.924
S 0.727 0.823 0.424
S 0.735 0.195 0.092
S 0.735 0.305 0.592
S 0.919 0.203 0.863
S 0.919 0.297 0.363

## Properties
* symmetry: P2_1/c (14)
* total DFT energy (no corrections): -3.455 eV/atom

[11]
A geometry-optimized ScAgOs2 structure, computed with GGA-PBE.

Unit cell a=6.381 b=6.381 c=6.381 alpha=90.00 beta=90.00 gamma=90.00
Fractional coordinates of all 16 atoms:
Sc 0.000 0.000 0.000
Sc 0.000 0.500 0.500
Sc 0.500 0.000 0.500
Sc 0.500 0.500 0.000
Ag 0.250 0.250 0.750
Ag 0.250 0.750 0.250
Ag 0.750 0.250 0.250
Ag 0.750 0.750 0.750
Os 0.000 0.000 0.500
Os 0.000 0.500 0.000
Os 0.250 0.250 0.250
Os 0.250 0.750 0.750
Os 0.500 0.000 0.000
Os 0.500 0.500 0.500
Os 0.750 0.250 0.750
Os 0.750 0.750 0.250

## Properties
* symmetry: F-43m (216)
* magnetic moment: 0.02 μB per cell
* total DFT energy (no corrections): -7.636 eV/atom

[12]
A geometry-optimized Zn4Cl6O structure, computed with GGA-PBE.

Unit cell a=7.910 b=7.910 c=8.001 alpha=90.00 beta=90.00 gamma=90.00
Fractional coordinates of all 22 atoms:
Zn 0.004 0.250 0.180
Zn 0.250 0.004 0.680
Zn 0.250 0.496 0.680
Zn 0.496 0.250 0.180
Zn 0.504 0.750 0.820
Zn 0.750 0.504 0.320
Zn 0.750 0.996 0.320
Zn 0.996 0.750 0.820
Cl 0.031 0.531 0.250
Cl 0.031 0.969 0.250
Cl 0.250 0.250 0.003
Cl 0.250 0.250 0.503
Cl 0.469 0.531 0.250
Cl 0.469 0.969 0.250
Cl 0.531 0.031 0.750
Cl 0.531 0.469 0.750
Cl 0.750 0.750 0.497
Cl 0.750 0.750 0.997
Cl 0.969 0.031 0.750
Cl 0.969 0.469 0.750
O 0.250 0.750 0.750
O 0.750 0.250 0.250

## Properties
* symmetry: P4_2/nmc (137)
* total DFT energy (no corrections): -2.934 eV/atom

[13]
A geometry-optimized MgCo6AsP3 structure, computed with GGA-PBE.

Unit cell a=6.649 b=6.649 c=3.358 alpha=90.00 beta=90.00 gamma=120.00
Fractional coordinates of all 11 atoms:
Mg 0.000 0.000 0.000
Co 0.192 0.384 0.500
Co 0.192 0.808 0.500
Co 0.539 0.078 0.000
Co 0.539 0.461 0.000
Co 0.616 0.808 0.500
Co 0.922 0.461 0.000
As 0.333 0.667 0.000
P 0.375 0.187 0.500
P 0.813 0.187 0.500
P 0.813 0.625 0.500

## Properties
* symmetry: P-6m2 (187)
* magnetic moment: 0.38 μB per cell
* total DFT energy (no corrections): -6.430 eV/atom

[14]
A geometry-optimized NaU2Se6 structure, computed with GGA-PBE.

Unit cell a=10.922 b=10.922 c=10.922 alpha=158.98 beta=150.62 gamma=36.41
Fractional coordinates of all 9 atoms:
Na 0.000 0.000 0.000
U 0.323 0.823 0.500
U 0.677 0.177 0.500
Se 0.151 0.401 0.750
Se 0.224 0.224 0.000
Se 0.349 0.599 0.750
Se 0.651 0.401 0.250
Se 0.776 0.776 0.000
Se 0.849 0.599 0.250

## Properties
* symmetry: Immm (71)
* magnetic moment: 3.71 μB per cell
* total DFT energy (no corrections): -6.006 eV/atom

[15]
A geometry-optimized Hf4Ta2Ge3N3 structure, computed with GGA-PBE.

Unit cell a=5.611 b=5.611 c=13.419 alpha=102.14 beta=102.14 gamma=60.10
Fractional coordinates of all 24 atoms:
Hf 0.029 0.201 0.096
Hf 0.137 0.301 0.404
Hf 0.201 0.029 0.596
Hf 0.301 0.137 0.904
Hf 0.699 0.863 0.096
Hf 0.799 0.971 0.404
Hf 0.863 0.699 0.596
Hf 0.971 0.799 0.904
Ta 0.367 0.529 0.085
Ta 0.471 0.633 0.415
Ta 0.529 0.367 0.585
Ta 0.633 0.471 0.915
Ge 0.108 0.892 0.250
Ge 0.279 0.416 0.749
Ge 0.416 0.279 0.249
Ge 0.584 0.721 0.751
Ge 0.721 0.584 0.251
Ge 0.892 0.108 0.750
N 0.000 0.500 0.000
N 0.151 0.675 0.500
N 0.325 0.849 0.000
N 0.500 0.000 0.500
N 0.675 0.151 0.000
N 0.849 0.325 0.500

## Properties
* symmetry: C2/c (15)
* magnetic moment: 0.01 μB per cell
* total DFT energy (no corrections): -9.470 eV/atom

[16]
A geometry-optimized TbDy2Sn3Pt3 structure, computed with GGA-PBE.

Unit cell a=4.010 b=7.529 c=7.529 alpha=120.04 beta=90.00 gamma=90.00
Fractional coordinates of all 9 atoms:
Tb 0.000 0.000 0.000
Dy 0.000 0.407 0.815
Dy 0.000 0.815 0.407
Sn 0.500 0.149 0.408
Sn 0.500 0.408 0.149
Sn 0.500 0.665 0.665
Pt 0.000 0.408 0.408
Pt 0.500 0.074 0.740
Pt 0.500 0.740 0.074

## Properties
* symmetry: Amm2 (38)
* magnetic moment: 0.00 μB per cell
* total DFT energy (no corrections): -5.986 eV/atom

[17]
A geometry-optimized DyY4Er2Ni2S2 structure, computed with GGA-PBE.

Unit cell a=8.961 b=8.961 c=8.961 alpha=155.68 beta=66.94 gamma=118.71
Fractional coordinates of all 11 atoms:
Dy 0.000 0.000 0.000
Y 0.283 0.400 0.883
Y 0.517 0.400 0.117
Y 0.612 0.245 0.367
Y 0.879 0.245 0.633
Er 0.292 0.607 0.685
Er 0.922 0.607 0.315
Ni 0.153 0.913 0.240
Ni 0.673 0.913 0.760
S 0.243 0.743 0.500
S 0.654 0.654 0.000

## Properties
* symmetry: Imm2 (44)
* magnetic moment: 0.00 μB per cell
* total DFT energy (no corrections): -6.218 eV/atom

[18]
A geometry-optimized Sc2Al3InPt2 structure, computed with GGA-PBE.

Unit cell a=9.905 b=4.230 c=6.946 alpha=90.00 beta=90.32 gamma=90.00
Fractional coordinates of all 16 atoms:
Sc 0.000 0.000 0.000
Sc 0.149 0.000 0.528
Sc 0.500 0.500 0.000
Sc 0.649 0.500 0.528
Al 0.217 0.500 0.806
Al 0.423 0.000 0.308
Al 0.443 0.000 0.703
Al 0.717 0.000 0.806
Al 0.923 0.500 0.308
Al 0.943 0.500 0.703
In 0.196 0.500 0.215
In 0.696 0.000 0.215
Pt 0.290 0.000 0.991
Pt 0.374 0.500 0.516
Pt 0.790 0.500 0.991
Pt 0.874 0.000 0.516

## Properties
* symmetry: Cm (8)
* magnetic moment: 0.01 μB per cell
* total DFT energy (no corrections): -5.731 eV/atom

[19]
A geometry-optimized GdInHgS3 structure, computed with GGA-PBE.

Unit cell a=7.777 b=7.777 c=10.577 alpha=90.00 beta=90.00 gamma=149.87
Fractional coordinates of all 12 atoms:
Gd 0.000 0.000 0.000
Gd 0.000 0.000 0.500
In 0.325 0.675 0.750
In 0.675 0.325 0.250
Hg 0.333 0.667 0.250
Hg 0.667 0.333 0.750
S 0.055 0.945 0.250
S 0.375 0.625 0.027
S 0.375 0.625 0.473
S 0.625 0.375 0.527
S 0.625 0.375 0.973
S 0.945 0.055 0.750

## Properties
* symmetry: Cmcm (63)
* magnetic moment: 0.01 μB per cell
* total DFT energy (no corrections): -4.308 eV/atom

[20]
A geometry-optimized Ba3Nb2Re structure, computed with GGA-PBE.

Unit cell a=6.000 b=10.427 c=5.659 alpha=90.00 beta=90.00 gamma=90.00
Fractional coordinates of all 12 atoms:
Ba 0.000 0.000 0.000
Ba 0.250 0.250 0.000
Ba 0.250 0.750 0.000
Ba 0.500 0.500 0.000
Ba 0.750 0.250 0.000
Ba 0.750 0.750 0.000
Nb 0.000 0.166 0.500
Nb 0.000 0.834 0.500
Nb 0.500 0.334 0.500
Nb 0.500 0.666 0.500
Re 0.000 0.500 0.500
Re 0.500 0.000 0.500

## Properties
* symmetry: Cmmm (65)
* magnetic moment: 0.00 μB per cell
* total DFT energy (no corrections): -4.304 eV/atom

[21]
A geometry-optimized PmI2 structure, computed with GGA-PBE.

Unit cell a=7.887 b=7.887 c=4.046 alpha=90.00 beta=90.00 gamma=90.00
Fractional coordinates of all 6 atoms:
Pm 0.000 0.000 0.000
Pm 0.500 0.500 0.500
I 0.216 0.216 0.500
I 0.284 0.716 0.000
I 0.716 0.284 0.000
I 0.784 0.784 0.500

## Properties
* symmetry: P4_2/mnm (136)
* magnetic moment: 0.08 μB per cell
* total DFT energy (no corrections): -3.788 eV/atom

[22]
A geometry-optimized Ho3Fe2Ni7 structure, computed with GGA-PBE.

Unit cell a=8.558 b=8.558 c=8.558 alpha=33.72 beta=33.72 gamma=33.72
Fractional coordinates of all 12 atoms:
Ho 0.000 0.000 0.000
Ho 0.139 0.139 0.139
Ho 0.861 0.861 0.861
Fe 0.333 0.333 0.333
Fe 0.667 0.667 0.667
Ni 0.082 0.581 0.581
Ni 0.419 0.419 0.918
Ni 0.419 0.918 0.419
Ni 0.500 0.500 0.500
Ni 0.581 0.082 0.581
Ni 0.581 0.581 0.082
Ni 0.918 0.419 0.419

## Properties
* symmetry: R-3m (166)
* magnetic moment: 6.09 μB per cell
* total DFT energy (no corrections): -6.136 eV/atom